Density functional theory data (GGA-PBE) for an optimized crystal structure of TeRhW2.

Its total energy is -34.1 eV per formula unit. Its formation energy from raw total energies is 219.8 kJ/mol of formula units.

The structure belongs to space group I-4m2 (No. 119); the cell edges are 4.0965, 4.0965 and 8.0061 Å and the angles 90.00°, 90.00° and 90.00°. Symmetry generates all atoms from Te at (0.0000, 0.0000, 0.0000), Rh at (0.0000, 0.5000, 0.2500), W at (0.0000, 0.0000, 0.5000) and W at (0.0000, 0.5000, 0.7500).



Density functional theory data (GGA-PBE) for an optimized crystal structure of Ti4Ni2C.

Its total energy is -54.3 eV per formula unit. As for the formation energy: -183.5 kJ/mol of formula units. As for the energy above the most stable polymorph in this dataset: 1.746 eV per formula unit.

The structure belongs to space group I4/mmm (No. 139); the cell edges are 4.1030, 4.1030 and 11.9817 Å and the angles 90.00°, 90.00° and 90.00°. Symmetry generates all atoms from Ti at (0.0000, 0.0000, 0.1798), Ti at (0.0000, 0.5000, 0.0000), Ni at (0.0000, 0.0000, 0.3700) and C at (0.0000, 0.0000, 0.0000).



Density functional theory data (GGA-PBE) for an optimized crystal structure of Li2CrOs.

Its total energy is -23.6 eV per formula unit. As for the formation energy: 104.9 kJ/mol of formula units. As for the energy above the most stable polymorph in this dataset: 0.114 eV per formula unit.

The structure belongs to space group Cmm2 (No. 35); the cell edges are 2.8049, 4.4272 and 9.2596 Å and the angles 90.00°, 90.00° and 90.00°. Symmetry generates all atoms from Li at (0.0000, 0.0000, 0.0000), Li at (0.0000, 0.5000, 0.2850), Cr at (0.0000, 0.0000, 0.5332) and Os at (0.0000, 0.5000, 0.7546).



Density functional theory data (GGA-PBE) for an optimized crystal structure of TiTeHS.

Its total energy is -21.2 eV per formula unit.

The structure belongs to space group Cm (No. 8); the cell edges are 5.6476, 3.3798 and 7.5777 Å and the angles 90.00°, 104.72° and 90.00°. Symmetry generates all atoms from Ti at (0.0000, 0.0000, 0.0000), Te at (0.2261, 0.0000, 0.6864), H at (0.1537, 0.5000, 0.9662) and S at (0.4036, 0.0000, 0.2059).



Density functional theory data (GGA-PBE) for an optimized crystal structure of Cs4U3AgSe8.

Its total energy is -85.7 eV per formula unit. Its formation energy from raw total energies is -1708.9 kJ/mol of formula units.

The structure belongs to space group R-3m (No. 166, hexagonal axes); the cell edges are 8.5926, 8.5926 and 25.0634 Å and the angles 90.00°, 90.00° and 120.00°. Symmetry generates all atoms from Cs at (0.0000, 0.0000, 0.0000), Cs at (0.0000, 0.5000, 0.0000), U at (0.0000, 0.5000, 0.5000), Ag at (0.0000, 0.0000, 0.5000), Se at (0.0000, 0.0000, 0.2289) and Se at (0.0137, 0.5068, 0.7719).



Density functional theory data (GGA-PBE) for an optimized crystal structure of ScSeBr2O.

Its total energy is -19.1 eV per formula unit. Its formation energy from raw total energies is -95.0 kJ/mol of formula units. As for the energy above the most stable polymorph in this dataset: 0.000 eV per formula unit.

The structure belongs to space group P4/mmm (No. 123); the cell edges are 5.1876, 5.1876 and 5.4180 Å and the angles 90.00°, 90.00° and 90.00°. Symmetry generates all atoms from Sc at (0.0000, 0.0000, 0.0000), Se at (0.0000, 0.0000, 0.5000), Br at (0.0000, 0.5000, 0.0000) and O at (0.5000, 0.5000, 0.5000).



Q: What is the formula in the fifth record?
A: Cs4U3AgSe8